# 1
The following is a PBE calculation of a relaxed structure of TbYTeC, from OQMD via LeMat-Bulk.

```
8
Lattice="-2.5932 2.0162 2.0052 -0.4638 -3.7899 -0.4823 7.2777 -2.3947 11.8198" Properties=species:S:1:pos:R:3 pbc="T T T"
C 3.6389 -1.1974 5.9099
C 0.0000 0.0000 0.0000
Y 4.7151 -2.0904 11.8928
Y -0.4944 -2.0780 1.4500
Tb 2.4388 -1.3414 8.1959
Tb 1.7818 -2.8270 5.1469
Te -0.0687 -0.5163 4.1233
Te 4.2894 -3.6521 9.2195
```

***

# 2
The following is a PBE calculation of a relaxed structure of Ta2Sb3Mo4N3, from OQMD via LeMat-Bulk.

```
24
Lattice="5.1830 -2.8357 0.0000 5.1830 2.8357 0.0000 -2.8066 0.0000 12.8144" Properties=species:S:1:pos:R:3 pbc="T T T"
Sb 2.7606 0.4321 3.2752
Sb 4.7987 -0.4321 9.5392
Sb 6.2020 0.4321 3.1320
Sb 1.3573 -0.4321 9.6824
Sb 4.4813 -2.3941 3.2036
Sb 3.0780 2.3941 9.6108
N 1.3915 1.1343 12.5758
N 2.7948 -1.1343 6.1686
N 1.1882 1.4179 6.4072
N 2.5915 -1.4179 0.0000
N 6.1678 -1.1343 0.2386
N 4.7645 1.1343 6.6458
Ta 3.3722 0.6179 11.8984
Ta 2.7838 0.6179 7.3233
Ta 4.1871 -0.6179 0.9161
Ta 4.7755 -0.6179 5.4912
Mo 1.0241 -0.1538 1.0928
Mo 7.9385 -0.1538 5.3145
Mo 6.5352 0.1538 11.7217
Mo -0.3792 0.1538 7.5000
Mo 0.9309 -0.6824 5.3049
Mo 6.6284 0.6824 7.5096
Mo 8.0317 -0.6824 1.1024
Mo -0.4724 0.6824 11.7121
```

***

# 3
The following is a PBE calculation of a relaxed structure of CdAsW4N2, from OQMD via LeMat-Bulk.

```
8
Lattice="2.9114 0.0000 0.0000 -1.4557 2.5213 0.0000 0.0000 0.0000 14.7264" Properties=species:S:1:pos:R:3 pbc="T T T"
W 1.4557 0.8404 9.4190
W 0.0000 1.6809 2.4828
W 1.4557 0.8404 5.3074
W 0.0000 1.6809 12.2437
Cd 1.4557 0.8404 0.0000
N 0.0000 0.0000 3.8670
N 0.0000 0.0000 10.8594
As 0.0000 1.6809 7.3632
```

***

# 4
The following is a PBE calculation of a relaxed structure of Pr3Cd2InPt2Au, from OQMD via LeMat-Bulk.

```
9
Lattice="-0.9363 0.8540 -3.8699 -6.8866 2.9332 2.3134 6.2954 4.6367 -0.4999" Properties=species:S:1:pos:R:3 pbc="T T T"
Cd -5.1064 2.1839 1.7173
Cd 4.6666 3.4468 -0.3684
In -0.1509 1.9325 0.4630
Pt 1.8744 4.0460 0.4394
Pt -2.4626 3.4856 1.3650
Au -0.4695 0.4446 -1.9307
Pr -4.7499 5.2757 0.1709
Pr 2.9783 6.2744 -1.4784
Pr -0.8173 4.8981 -0.8639
```

***

These records have final energy values of -6.737 -8.814 -8.968 -4.616 eV per atom, in the order they appear.